No. 1
VASP calculation (PBE) on a relaxed PmI crystal.

Cell lengths 3.8947, 3.8947, 4.7492 Å; angles 90.00, 90.00, 120.00 degrees
Closest atoms and distances in Å follow each position.
Positions (direct):
Pm: 0.0000 0.0000 0.0000  6 I 3.27
I: 0.3333 0.6667 0.5000  6 Pm 3.27

Electronic total energy ... -8.09 eV per formula unit
Energy above the most stable polymorph in this dataset ... 0.0 meV/atom
Total magnetization ... 0.01 μB per formula unit

***

No. 2
VASP calculation (PBE) on a relaxed HfZnIr2 crystal.

Cell lengths 4.4823, 4.4823, 7.6145 Å; angles 90.00, 90.00, 120.00 degrees
Closest atoms and distances in Å follow each position.
Positions (direct):
Hf: 0.0000 0.0000 0.2500  3 Zn 2.59, 6 Ir 2.89
Hf: 0.0000 0.0000 0.7500  3 Zn 2.59, 6 Ir 2.89
Zn: 0.3333 0.6667 0.2500  2 Ir 2.52, 3 Hf 2.59
Zn: 0.6667 0.3333 0.7500  2 Ir 2.52, 3 Hf 2.59
Ir: 0.3333 0.6667 0.5809  1 Zn 2.52, 1 Ir 2.58
Ir: 0.3333 0.6667 0.9191  1 Zn 2.52, 1 Ir 2.58
Ir: 0.6667 0.3333 0.0809  1 Zn 2.52, 1 Ir 2.58
Ir: 0.6667 0.3333 0.4191  1 Zn 2.52, 1 Ir 2.58

Electronic total energy ... -29.07 eV per formula unit
Energy of formation from the pure elements ... -0.14 eV per formula unit
Total magnetization ... 0.04 μB per formula unit

***

No. 3
VASP calculation (PBE) on a relaxed PmLuPO crystal.

Cell lengths 4.3133, 4.3133, 8.7066 Å; angles 90.00, 90.00, 90.00 degrees
Closest atoms and distances in Å follow each position.
Positions (direct):
Pm: 0.2500 0.2500 0.1145  4 O 2.38
Pm: 0.7500 0.7500 0.8855  4 O 2.38
Lu: 0.2500 0.7500 0.5000  4 P 2.69
Lu: 0.7500 0.2500 0.5000  4 P 2.69
P: 0.2500 0.2500 0.6841  4 Lu 2.69
P: 0.7500 0.7500 0.3159  4 Lu 2.69
O: 0.2500 0.7500 0.0000  4 Pm 2.38
O: 0.7500 0.2500 0.0000  4 Pm 2.38

Electronic total energy ... -27.48 eV per formula unit
Energy above the most stable polymorph in this dataset ... 0.0 meV/atom
Total magnetization ... 0.02 μB per formula unit